[1]
This record from Alexandria describes an optimized crystal structure of Rb3NaW. The functional is GGA-PBE.

Cell lengths 7.1747, 7.1747, 7.1747 Å; angles 90.00, 90.00, 90.00 degrees
Space group Pm-3m (No. 221)
Inequivalent atoms, fractional coordinates:
Rb: 0.0000 0.0000 0.5000
Na: 0.5000 0.5000 0.5000
W: 0.0000 0.0000 0.0000

Values from the calculation:
ΔE_f ... 1.306 eV per atom

***

[2]
This record from Alexandria describes an optimized crystal structure of RbNaW2. The functional is GGA-PBE.

Cell lengths 9.2508, 9.2508, 4.9277 Å; angles 90.00, 90.00, 90.00 degrees
Space group I-42d (No. 122)
Inequivalent atoms, fractional coordinates:
Rb: 0.0000 0.0000 0.0000
Na: 0.0000 0.0000 0.5000
W: 0.2196 0.7500 0.6250

Values from the calculation:
ΔE_f ... 2.410 eV per atom